(1)
Below is LaSi2PdRh after structural relaxation, with properties calculated at the PBE-GGA level.

Unit cell a=4.1886 b=4.1886 c=5.9137 alpha=110.74 beta=110.74 gamma=90.00
Atoms (fractional coordinates):
La 0.0000 0.0000 0.0000
Rh 0.2500 0.7500 0.5000
Si 0.6206 0.6206 0.2411
Si 0.3794 0.3794 0.7589
Pd 0.7500 0.2500 0.5000

Computed properties:
Final energy ... -6.625 eV/atom
Calculated density ... 7.478 g cm⁻³
Raw formation energy ... -0.961 eV per atom

---

(2)
Below is PaInPd2 after structural relaxation, with properties calculated at the PBE-GGA level.

Unit cell a=3.2579 b=3.2579 c=7.3584 alpha=90.00 beta=90.00 gamma=90.00
Atoms (fractional coordinates):
Pa 0.5000 0.5000 0.5000
Pd 0.0000 0.0000 0.2327
Pd 0.0000 0.0000 0.7673
In 0.5000 0.5000 0.0000

Computed properties:
Final energy ... -6.147 eV/atom
Energy relative to the elements ... -0.492 eV per atom
Calculated density ... 11.879 g cm⁻³

---

(3)
Below is ZrRu2W after structural relaxation, with properties calculated at the PBE-GGA level.

Unit cell a=9.6461 b=9.6461 c=9.6461 alpha=16.82 beta=16.82 gamma=16.82
Atoms (fractional coordinates):
Zr 0.7474 0.7474 0.7474
Ru 0.9926 0.9926 0.9926
Ru 0.2519 0.2519 0.2519
W 0.5080 0.5080 0.5080

Computed properties:
Final energy ... -9.744 eV/atom
Energy relative to the elements ... 0.269 eV per atom
Calculated density ... 12.082 g cm⁻³

---

(4)
Below is K2TaMnS4 after structural relaxation, with properties calculated at the PBE-GGA level.

Unit cell a=6.8500 b=6.8500 c=6.8500 alpha=91.18 beta=119.32 gamma=119.32
Atoms (fractional coordinates):
S 0.0892 0.2190 0.6070
S 0.3880 0.8701 0.7810
S 0.9108 0.5178 0.1299
S 0.6120 0.3930 0.4822
K 0.5000 0.7500 0.2500
K 0.0000 0.0000 0.0000
Ta 0.0000 0.5000 0.5000
Mn 0.5000 0.2500 0.7500

Computed properties:
Final energy ... -5.903 eV/atom
Calculated density ... 3.200 g cm⁻³
Raw formation energy ... -0.937 eV per atom

---

Please write out number 2 again, unchanged.
Below is PaInPd2 after structural relaxation, with properties calculated at the PBE-GGA level.

Unit cell a=3.2579 b=3.2579 c=7.3584 alpha=90.00 beta=90.00 gamma=90.00
Atoms (fractional coordinates):
Pa 0.5000 0.5000 0.5000
Pd 0.0000 0.0000 0.2327
Pd 0.0000 0.0000 0.7673
In 0.5000 0.5000 0.0000

Computed properties:
Final energy ... -6.147 eV/atom
Energy relative to the elements ... -0.492 eV per atom
Calculated density ... 11.879 g cm⁻³

---

- What is the calculated density in the fourth record?
  3.200 g cm⁻³

---

- The highest final energy belongs to which entry?
  K2TaMnS4